# AlHO | Alexandria | PBE-GGA | relaxed
data_AlHO
_chemical_formula_sum 'Al2 H2 O2'
_space_group_name_H-M_alt 'P m m n'
_space_group_IT_number 59
_cell_length_a 2.7903
_cell_length_b 3.6950
_cell_length_c 5.9778
_cell_angle_alpha 90.00
_cell_angle_beta 90.00
_cell_angle_gamma 90.00
loop_
_space_group_symop_operation_xyz
'x,y,z'
'-x,-y,-z'
'-x+1/2,-y+1/2,z'
'x+1/2,y+1/2,-z'
'x+1/2,-y,-z'
'-x+1/2,y,z'
'-x,y+1/2,-z'
'x,-y+1/2,z'
loop_
_atom_site_label
_atom_site_type_symbol
_atom_site_fract_x
_atom_site_fract_y
_atom_site_fract_z
Al1 Al 0.2500 0.2500 0.1424
H1 H 0.2500 0.7500 0.6720
O1 O 0.2500 0.7500 0.0886
# calculated volume = 30.8 Å³/f.u.
# total energy = -5.64 eV per atom
# relative energy among the computed polymorphs = 17.6 meV/atom



# LiHoTmMg | Alexandria | PBE-GGA | relaxed
data_LiHoTmMg
_chemical_formula_sum 'Li4 Ho4 Tm4 Mg4'
_space_group_name_H-M_alt 'F -4 3 m'
_space_group_IT_number 216
_space_group_name_Hall 'F -4 2 3'
_cell_length_a 7.4566
_cell_length_b 7.4566
_cell_length_c 7.4566
_cell_angle_alpha 90.00
_cell_angle_beta 90.00
_cell_angle_gamma 90.00
loop_
_atom_site_label
_atom_site_type_symbol
_atom_site_fract_x
_atom_site_fract_y
_atom_site_fract_z
Li1 Li 0.0000 0.0000 0.0000
Ho1 Ho 0.2500 0.2500 0.2500
Tm1 Tm 0.2500 0.2500 0.7500
Mg1 Mg 0.0000 0.0000 0.5000
# DFT formation energy = 0.060 eV per atom
# calculated volume = 103.6 Å³/f.u.
# total energy = -3.08 eV per atom